Here is a relaxed Bi2OsRhSe crystal from Alexandria. Energies are from PBE-GGA.

a b c (Å): 5.3552 5.3552 4.7323
angles (deg): 90.00 90.00 90.00
Space group P4/mmm (No. 123)
Inequivalent atoms, fractional coordinates:
Bi  0.0000  0.5000  0.0000 x2
Os  0.0000  0.0000  0.5000 x1
Rh  0.0000  0.0000  0.0000 x1
Se  0.5000  0.5000  0.5000 x1

Calculated values
The calculation puts the formation energy (no corrections) at 1.10 eV/atom. The value obtained for the total magnetization is 0.311 μB per atom. The value obtained for the final energy is -4.867 eV/atom.

=====

Here is a relaxed Th3BiOsRh crystal from Alexandria. Energies are from PBE-GGA.

a b c (Å): 8.5437 4.3217 9.9672
angles (deg): 90.00 114.95 90.00
Space group P2_1/m (No. 11)
Inequivalent atoms, fractional coordinates:
Th  0.1560  0.2500  0.1420 x2
Th  0.2374  0.7500  0.4693 x2
Th  0.2936  0.7500  0.8729 x2
Bi  0.4976  0.7500  0.2729 x2
Os  0.0611  0.2500  0.8348 x2
Rh  0.0093  0.7500  0.6062 x2

Calculated values
The value obtained for the total magnetization is 0.000 μB per atom. The value obtained for the final energy is -8.007 eV/atom.

=====

Here is a relaxed TiBi2OsRh crystal from Alexandria. Energies are from PBE-GGA.

a b c (Å): 5.2621 5.2621 4.5136
angles (deg): 90.00 90.00 90.00
Space group P4/mmm (No. 123)
Inequivalent atoms, fractional coordinates:
Ti  0.0000  0.0000  0.0000 x1
Bi  0.0000  0.5000  0.0000 x2
Os  0.0000  0.0000  0.5000 x1
Rh  0.5000  0.5000  0.5000 x1

Calculated values
The value obtained for the total magnetization is 0.031 μB per atom. The value obtained for the final energy is -5.622 eV/atom.

=====

Here is a relaxed ZnBi2OsRh crystal from Alexandria. Energies are from PBE-GGA.

a b c (Å): 5.1735 5.1735 4.7724
angles (deg): 90.00 90.00 90.00
Space group P4/mmm (No. 123)
Inequivalent atoms, fractional coordinates:
Zn  0.0000  0.0000  0.0000 x1
Bi  0.0000  0.5000  0.5000 x2
Os  0.0000  0.0000  0.5000 x1
Rh  0.5000  0.5000  0.0000 x1

Calculated values
The value obtained for the total magnetization is 0.000 μB per atom. The value obtained for the final energy is -4.578 eV/atom.

=====

Here is a relaxed BiOsRu3 crystal from Alexandria. Energies are from PBE-GGA.

a b c (Å): 4.7244 4.7244 4.7244
angles (deg): 90.00 90.00 90.00
Space group Pm-3m (No. 221)
Inequivalent atoms, fractional coordinates:
Bi  0.0000  0.0000  0.0000 x1
Os  0.5000  0.5000  0.5000 x1
Ru  0.0000  0.5000  0.5000 x3

Calculated values
The value obtained for the total magnetization is 0.000 μB per atom. The value obtained for the final energy is -7.171 eV/atom.

=====

Here is a relaxed BiSbOsRu2 crystal from Alexandria. Energies are from PBE-GGA.

a b c (Å): 4.8034 4.8034 5.0149
angles (deg): 90.00 90.00 90.00
Space group P4/mmm (No. 123)
Inequivalent atoms, fractional coordinates:
Bi  0.0000  0.0000  0.0000 x1
Sb  0.5000  0.5000  0.0000 x1
Os  0.5000  0.5000  0.5000 x1
Ru  0.0000  0.5000  0.5000 x2

Calculated values
The calculation puts the formation energy (no corrections) at 1.21 eV/atom. The value obtained for the total magnetization is 0.000 μB per atom. The value obtained for the final energy is -6.352 eV/atom.